Ba2InAgSn6: optimized geometry, GGA-PBE.

Computed properties:
DFT total energy in eV/atom: -3.5623
N(E_F) in states/eV/cell: 28.8

The structure in CIF format:
```
data_Ba2InAgSn6
_chemical_formula_sum 'Ba12 In6 Ag6 Sn36'
_cell_length_a 6.8380
_cell_length_b 6.8380
_cell_length_c 50.3857
_cell_angle_alpha 90.00
_cell_angle_beta 90.00
_cell_angle_gamma 120.00
_symmetry_space_group_name_H-M 'R -3 m'
_symmetry_Int_Tables_number 166
_symmetry_space_group_name_Hall '-R 3 2"'
loop_
_atom_site_label
_atom_site_fract_x
_atom_site_fract_y
_atom_site_fract_z
Ba1 0.0000 0.0000 0.1097
Ba2 0.0000 0.0000 0.3150
In1 0.0000 0.0000 0.4225
Ag1 0.0000 0.0000 0.0000
Ag2 0.0000 0.0000 0.5000
Sn1 0.0312 0.5156 0.7122
Sn2 0.0432 0.5216 0.8668
```

BaInAg2Sn: optimized geometry, GGA-PBE.

Computed properties:
DFT total energy in eV/atom: -3.2107
N(E_F) in states/eV/cell: 4.2

The structure in CIF format:
```
data_BaInAg2Sn
_chemical_formula_sum 'Ba2 In2 Ag4 Sn2'
_cell_length_a 4.764
_cell_length_b 4.858
_cell_length_c 12.014
_cell_angle_alpha 90.00
_cell_angle_beta 90.00
_cell_angle_gamma 90.00
_symmetry_space_group_name_H-M 'I m m 2'
_symmetry_Int_Tables_number 44
loop_
_symmetry_equiv_pos_as_xyz
'x,y,z'
'-x,-y,z'
'-x,y,z'
'x,-y,z'
'x+1/2,y+1/2,z+1/2'
'-x+1/2,-y+1/2,z+1/2'
'-x+1/2,y+1/2,z+1/2'
'x+1/2,-y+1/2,z+1/2'
loop_
_atom_site_label
_atom_site_fract_x
_atom_site_fract_y
_atom_site_fract_z
Ba1 0.000 0.000 0.000
In1 0.000 0.500 0.741
Ag1 0.000 0.000 0.620
Ag2 0.000 0.500 0.261
Sn1 0.000 0.000 0.387
```

Q: Among the records above, which one has the lowest N(E_F)?
A: BaInAg2Sn

Q: What is the formula in the first record?
A: Ba2InAgSn6